1.
A relaxed Ac2Al2Fe2C crystal. Source: the Alexandria database, functional PBE.

The structure in POSCAR format:
```
Ac2Al2Fe2C
1.0
4.2609 0.0000 0.0000
2.1304 5.8333 -0.5657
2.1304 1.5169 5.6962
Ac Al Fe C
2 2 2 1
Direct
0.4439 0.8176 0.2946
0.5561 0.1824 0.7054
0.8095 0.6094 0.7716
0.1905 0.3906 0.2284
0.1812 0.7195 0.9182
0.8188 0.2805 0.0818
0.0000 0.0000 0.0000
```

energy relative to the elements: -0.20 eV per atom
space-group type: C2/m



2.
A relaxed CdReCl2 crystal. Source: the Alexandria database, functional PBE.

The structure in POSCAR format:
```
CdReCl2
1.0
4.2487 0.0000 0.0000
0.0000 4.4250 0.0000
0.0000 0.0000 4.4250
Cl Cd Re
2 1 1
Direct
0.0000 0.5000 0.5000
0.0000 0.0000 0.0000
0.5000 0.0000 0.5000
0.5000 0.5000 0.0000
```

space-group type: P4/mmm
E_form (uncorrected): 0.994 eV/atom
distance to the lowest polymorph of the same formula: 0.965 eV per atom



3.
A relaxed AcSbH crystal. Source: the Alexandria database, functional PBE.

The structure in POSCAR format:
```
AcSbH
1.0
-0.4545 4.7305 -1.2803
-4.4219 3.5398 5.1889
2.9820 3.8726 3.7902
Sb H Ac
2 2 2
Direct
0.8728 0.1722 0.0822
0.1272 0.8278 0.9178
0.3887 0.5223 0.7003
0.6113 0.4777 0.2997
0.5628 0.2067 0.6676
0.4372 0.7933 0.3324
```

space-group type: C2/m
distance to the lowest polymorph of the same formula: 0.160 eV per atom



4.
A relaxed SiSnOF2 crystal. Source: the Alexandria database, functional PBE.

The structure in POSCAR format:
```
SiSnOF2
1.0
4.5936 0.0000 0.0000
0.0000 4.5936 0.0000
0.0000 0.0000 3.4685
Si O Sn F
1 1 1 2
Direct
0.0000 0.0000 0.0000
0.0000 0.0000 0.5000
0.5000 0.5000 0.5000
0.5000 0.0000 0.0000
0.0000 0.5000 0.0000
```

space-group type: P4/mmm
E_form (uncorrected): -1.415 eV/atom
distance to the lowest polymorph of the same formula: 0.000 eV per atom



5.
A relaxed Ba2NaGa3Sn4 crystal. Source: the Alexandria database, functional PBE.

The structure in POSCAR format:
```
Ba2NaGa3Sn4
1.0
5.0098 0.0000 0.0000
0.0000 5.0098 0.0000
0.0000 0.0000 11.6021
Ga Sn Na Ba
3 4 1 2
Direct
0.0000 0.0000 0.5000
0.0000 0.5000 0.1244
0.5000 0.0000 0.8756
0.0000 0.5000 0.3588
0.5000 0.0000 0.6412
0.5000 0.5000 0.0000
0.0000 0.0000 0.0000
0.5000 0.5000 0.5000
0.5000 0.0000 0.2452
0.0000 0.5000 0.7548
```

energy relative to the elements: -0.36 eV per atom
space-group type: P-4m2



6.
A relaxed Ca8RhN2 crystal. Source: the Alexandria database, functional PBE.

The structure in POSCAR format:
```
Ca8RhN2
1.0
-1.0821 6.5914 -0.3519
-1.8572 -0.6367 7.5541
5.8534 0.5001 5.1388
Ca Rh N
8 1 2
Direct
0.7594 0.9050 0.3117
0.7028 0.8313 0.8313
0.2407 0.6450 0.6450
0.2406 0.0950 0.6883
0.7593 0.3550 0.3550
0.2406 0.6883 0.0950
0.7594 0.3117 0.9050
0.2972 0.1687 0.1687
0.0000 0.0000 0.0000
0.6316 0.1971 0.1971
0.3684 0.8029 0.8029
```

space-group type: C2/m
E_form (uncorrected): -0.361 eV/atom



7.
A relaxed InRh4W crystal. Source: the Alexandria database, functional PBE.

The structure in POSCAR format:
```
InRh4W
1.0
4.8849 -0.7087 1.4018
2.7308 3.9258 1.8601
1.2852 0.1061 4.9665
Rh W In
4 1 1
Direct
0.3750 0.3750 0.3750
0.3750 0.8750 0.3750
0.3750 0.3750 0.8750
0.8750 0.3750 0.3750
0.7500 0.7500 0.7500
0.0000 0.0000 0.0000
```

energy relative to the elements: 0.19 eV per atom
space-group type: F-43m



8.
A relaxed BaGeRh crystal. Source: the Alexandria database, functional PBE.

The structure in POSCAR format:
```
BaGeRh
1.0
-0.0182 -2.4809 4.4072
0.4333 -3.6958 -2.0787
3.4555 2.1684 1.2349
Ba Ge Rh
1 1 1
Direct
0.6666 0.6667 0.3333
0.1669 0.0000 0.0000
0.1665 0.3333 0.6667
```

energy relative to the elements: -0.55 eV per atom
space-group type: P-6m2



9.
A relaxed AcY9Ho2 crystal. Source: the Alexandria database, functional PBE.

The structure in POSCAR format:
```
AcY9Ho2
1.0
-0.7050 1.1460 4.9048
4.8325 -1.2425 0.9849
4.2729 14.4327 -2.7579
Y Ho Ac
9 2 1
Direct
0.5000 0.0000 0.1741
0.5000 0.0000 0.8259
0.5000 0.5000 0.0000
0.0000 0.5000 0.8259
0.5000 0.0000 0.5000
0.0000 0.5000 0.5000
0.5000 0.5000 0.3375
0.0000 0.5000 0.1741
0.5000 0.5000 0.6625
0.0000 0.0000 0.6638
0.0000 0.0000 0.3362
0.0000 0.0000 0.0000
```

energy relative to the elements: 0.04 eV per atom
space-group type: P4/mmm



10.
A relaxed DyTiPb2 crystal. Source: the Alexandria database, functional PBE.

The structure in POSCAR format:
```
DyTiPb2
1.0
-2.6956 3.3318 0.9801
-2.6709 -1.0495 -3.7781
-2.6292 -2.9120 2.6676
Ti Dy Pb
1 1 2
Direct
0.5000 0.0000 0.0000
0.5000 0.5000 0.5000
0.0000 0.0000 0.5000
0.0000 0.5000 0.0000
```

energy relative to the elements: -0.09 eV per atom
space-group type: P4/mmm



11.
A relaxed PuBe4Ru crystal. Source: the Alexandria database, functional PBE.

The structure in POSCAR format:
```
PuBe4Ru
1.0
4.6727 0.0000 0.0000
2.3364 4.0467 0.0000
2.3364 1.3489 3.8153
Be Ru Pu
4 1 1
Direct
0.6275 0.6275 0.1176
0.1176 0.6275 0.6275
0.6275 0.6275 0.6275
0.6275 0.1176 0.6275
0.0000 0.0000 0.0000
0.2500 0.2500 0.2500
```

energy relative to the elements: -0.04 eV per atom
space-group type: F-43m



12.
A relaxed Ca3Nd3TmS8 crystal. Source: the Alexandria database, functional PBE.

The structure in POSCAR format:
```
Ca3Nd3TmS8
1.0
8.0590 0.0000 0.0000
-4.0295 6.9797 -0.0240
0.0000 -4.6300 6.6347
Nd S Tm Ca
3 8 1 3
Direct
0.5000 0.0000 0.5000
0.0000 0.5000 0.5000
0.5000 0.5000 0.5000
0.2377 0.9988 0.2600
0.7623 0.0012 0.7400
0.7520 0.5039 0.7559
0.2389 0.4778 0.7400
0.2480 0.4961 0.2441
0.2389 0.0012 0.7400
0.7611 0.5222 0.2600
0.7611 0.9988 0.2600
0.0000 0.0000 0.5000
0.0000 0.5000 0.0000
0.5000 0.5000 0.0000
0.0000 0.0000 0.0000
```

space-group type: R-3m
E_form (uncorrected): -2.079 eV/atom